Entry 1:
A plane-wave DFT calculation with PBE-GGA was carried out for a relaxed YS2Br crystal.

Results
The calculation puts the uncorrected energy at -4.6625 eV/atom. Its density of states at the Fermi level is 6.59 states/eV/f.u. The theoretical density comes out at 4.56 Mg/m³. The spin magnetization is 0.00 μB/f.u. Its uncorrected formation energy is -0.565 eV per atom. The value obtained for the volume is 84.8 Å³/f.u. The polymorph energy (0 for the lowest one) comes out at 636 meV per atom.

Lattice parameters (Å, degrees): 4.9313 4.9313 4.9313 60.00 60.00 60.00
Fractional positions:
Y  0.5000  0.5000  0.5000
S  0.2500  0.2500  0.2500
S  0.7500  0.7500  0.7500
Br  0.0000  0.0000  0.0000

---

Entry 2:
A plane-wave DFT calculation with PBE-GGA was carried out for a relaxed Fe8Os crystal.

Results
The calculation puts the uncorrected energy at -8.6563 eV/atom. Its density of states at the Fermi level is 11.82 states/eV/f.u. For the formation energy, the calculation gives 0.114 eV/atom. The theoretical density comes out at 10.39 Mg/m³. The spin magnetization is 1.26 μB/f.u. The value obtained for the volume is 101.8 Å³/f.u.

Lattice parameters (Å, degrees): 5.6275 5.6275 5.6275 95.79 95.79 142.96
Fractional positions:
Fe  0.6688  0.6688  0.3375
Fe  0.0000  0.6635  0.6635
Fe  0.3365  0.0000  0.3365
Fe  0.6688  0.3312  0.0000
Fe  0.0000  0.3365  0.3365
Fe  0.3312  0.3312  0.6625
Fe  0.3312  0.6688  0.0000
Os  0.0000  0.0000  0.0000
Fe  0.6635  0.0000  0.6635

---

Question: Which value of uncorrected energy does entry 2 give?
Answer: -8.6563 eV/atom